Entry 1:
{"formula": "CaPmEr2Tl4", "functional": "PBE-GGA", "state": "optimized geometry", "lattice_angstrom": [[5.3948, 0.0000, 0.0000], [2.6974, 4.6720, 0.0000], [2.6974, 1.5573, 8.8794]], "species": ["Ca", "Pm", "Er", "Er", "Tl", "Tl", "Tl", "Tl"], "frac_coords": [[0.0000, 0.0000, 0.0000], [0.5000, 0.5000, 0.5000], [0.7480, 0.7480, 0.7560], [0.2520, 0.2520, 0.2440], [0.3748, 0.3748, 0.8755], [0.8751, 0.8751, 0.3746], [0.1249, 0.1249, 0.6254], [0.6252, 0.6252, 0.1245]], "volume_a3_per_atom": 28.0, "magnetic_moment_mub_per_cell": 0.000, "rho_g_cm3": 9.92, "delta_e_f_ev_per_atom": -0.3553}


Entry 2:
{"formula": "CaPmErTm", "functional": "PBE-GGA", "state": "optimized geometry", "lattice_angstrom": [[5.7392, 0.0000, 0.0000], [2.8696, 4.9703, 0.0000], [2.8696, 1.6568, 4.6861]], "species": ["Ca", "Tm", "Pm", "Er"], "frac_coords": [[0.2500, 0.2500, 0.2500], [0.7500, 0.7500, 0.7500], [0.0000, 0.0000, 0.0000], [0.5000, 0.5000, 0.5000]], "volume_a3_per_atom": 33.4, "magnetic_moment_mub_per_cell": 0.000, "rho_g_cm3": 6.48, "delta_e_f_ev_per_atom": 0.1482}


Entry 3:
{"formula": "CaPmYEr", "functional": "PBE-GGA", "state": "optimized geometry", "lattice_angstrom": [[-3.1563, -0.0982, 4.8364], [-0.6590, -4.9406, 2.9188], [2.5817, -0.6961, 5.1199]], "species": ["Y", "Ca", "Pm", "Er"], "frac_coords": [[0.7500, 0.7500, 0.7500], [0.0000, 0.0000, 0.0000], [0.2500, 0.2500, 0.2500], [0.5000, 0.5000, 0.5000]], "volume_a3_per_atom": 34.1, "magnetic_moment_mub_per_cell": 0.000, "rho_g_cm3": 5.38, "delta_e_f_ev_per_atom": 0.1392}


Entry 4:
{"formula": "CaPm3Y6Er2", "functional": "PBE-GGA", "state": "optimized geometry", "lattice_angstrom": [[-2.1540, 5.3945, -2.3116], [-3.4186, -5.2086, -0.5172], [-3.2814, 2.2897, 11.2170]], "species": ["Ca", "Pm", "Pm", "Pm", "Y", "Y", "Y", "Y", "Y", "Y", "Er", "Er"], "frac_coords": [[0.0000, 0.0000, 0.0000], [0.1655, 0.8345, 0.5000], [0.8345, 0.1655, 0.5000], [0.5000, 0.5000, 0.5000], [0.9162, 0.5770, 0.7501], [0.7446, 0.7446, 0.2501], [0.0838, 0.4230, 0.2499], [0.5770, 0.9162, 0.7501], [0.2554, 0.2554, 0.7499], [0.4230, 0.0838, 0.2499], [0.3334, 0.6666, 0.0000], [0.6666, 0.3334, 0.0000]], "volume_a3_per_atom": 33.1, "magnetic_moment_mub_per_cell": 0.001, "rho_g_cm3": 5.62, "delta_e_f_ev_per_atom": 0.0548}


Entry 5:
{"formula": "CaPm6Y3Er2", "functional": "PBE-GGA", "state": "optimized geometry", "lattice_angstrom": [[6.2895, 0.0005, 0.0121], [-3.1428, 5.4480, 0.0121], [-1.0644, -1.8430, 11.6946]], "species": ["Ca", "Pm", "Pm", "Pm", "Pm", "Pm", "Pm", "Y", "Y", "Y", "Er", "Er"], "frac_coords": [[0.0000, 0.0000, 0.0000], [0.9157, 0.5748, 0.7489], [0.7435, 0.7435, 0.2519], [0.0843, 0.4252, 0.2511], [0.5748, 0.9157, 0.7489], [0.2565, 0.2565, 0.7481], [0.4252, 0.0843, 0.2511], [0.1665, 0.8335, 0.5000], [0.8335, 0.1665, 0.5000], [0.5000, 0.5000, 0.5000], [0.3334, 0.6666, 0.0000], [0.6666, 0.3334, 0.0000]], "volume_a3_per_atom": 33.4, "magnetic_moment_mub_per_cell": 0.000, "rho_g_cm3": 6.26, "delta_e_f_ev_per_atom": 0.0352}


Entry 6:
{"formula": "CaPr4Er6", "functional": "PBE-GGA", "state": "optimized geometry", "lattice_angstrom": [[-5.4626, -2.6021, -7.8339], [9.0860, 3.1872, 2.2950], [5.5192, -4.0093, 7.1725]], "species": ["Ca", "Pr", "Pr", "Pr", "Pr", "Er", "Er", "Er", "Er", "Er", "Er"], "frac_coords": [[0.0000, 0.0000, 0.0000], [0.0000, 0.6334, 0.0103], [0.3769, 0.3666, 0.3666], [0.0000, 0.0103, 0.6334], [0.6231, 0.9897, 0.9897], [0.0000, 0.8003, 0.4515], [0.0000, 0.4515, 0.8003], [0.3489, 0.5485, 0.5485], [0.5000, 0.5000, 0.0000], [0.6511, 0.1997, 0.1997], [0.5000, 0.0000, 0.5000]], "volume_a3_per_atom": 35.0, "magnetic_moment_mub_per_cell": 0.000, "rho_g_cm3": 6.94, "delta_e_f_ev_per_atom": 0.3302}


Entry 7:
{"formula": "Ca2Pr5Er", "functional": "PBE-GGA", "state": "optimized geometry", "lattice_angstrom": [[-4.7012, -1.5991, 1.6372], [-1.0661, -1.7798, -4.7995], [7.0266, -7.8216, 4.1879]], "species": ["Ca", "Ca", "Pr", "Pr", "Pr", "Pr", "Pr", "Er"], "frac_coords": [[0.7495, 0.7495, 0.4990], [0.2505, 0.2505, 0.5010], [0.5000, 0.5000, 0.0000], [0.3822, 0.8822, 0.7644], [0.8822, 0.3822, 0.7644], [0.6178, 0.1178, 0.2356], [0.1178, 0.6178, 0.2356], [0.0000, 0.0000, 0.0000]], "volume_a3_per_atom": 36.6, "magnetic_moment_mub_per_cell": 0.000, "rho_g_cm3": 5.41, "delta_e_f_ev_per_atom": 0.0366}


Entry 8:
{"formula": "CaPrEr2", "functional": "PBE-GGA", "state": "optimized geometry", "lattice_angstrom": [[-1.8933, 5.3130, 1.2291], [-1.3205, 1.4068, 5.4406], [3.3673, 3.6572, 2.9341]], "species": ["Pr", "Ca", "Er", "Er"], "frac_coords": [[0.0000, 0.0000, 0.0000], [0.5000, 0.5000, 0.5000], [0.2500, 0.2500, 0.2500], [0.7500, 0.7500, 0.7500]], "volume_a3_per_atom": 34.0, "magnetic_moment_mub_per_cell": 0.047, "rho_g_cm3": 6.29, "delta_e_f_ev_per_atom": 0.1667}


Entry 9:
{"formula": "CaPrEr2", "functional": "PBE-GGA", "state": "optimized geometry", "lattice_angstrom": [[5.1976, 0.0000, 0.0000], [0.0000, 5.1000, 0.0000], [0.0000, 0.0000, 5.1000]], "species": ["Pr", "Ca", "Er", "Er"], "frac_coords": [[0.5000, 0.0000, 0.0000], [0.5000, 0.5000, 0.5000], [0.0000, 0.0000, 0.5000], [0.0000, 0.5000, 0.0000]], "volume_a3_per_atom": 33.8, "magnetic_moment_mub_per_cell": 0.000, "rho_g_cm3": 6.33, "delta_e_f_ev_per_atom": 0.1228}


Entry 10:
{"formula": "CaPr12Er3", "functional": "PBE-GGA", "state": "optimized geometry", "lattice_angstrom": [[-0.3811, 4.7273, -2.1471], [-2.9937, 1.5589, 3.9636], [16.9580, 6.0958, 10.4111]], "species": ["Ca", "Pr", "Pr", "Pr", "Pr", "Pr", "Pr", "Pr", "Pr", "Pr", "Pr", "Pr", "Pr", "Er", "Er", "Er"], "frac_coords": [[0.0000, 0.0000, 0.0000], [0.5000, 0.5000, 0.0000], [0.5000, 0.5000, 0.2518], [0.5000, 0.5000, 0.5000], [0.5000, 0.5000, 0.7482], [0.5000, 0.0000, 0.1300], [0.5000, 0.0000, 0.3764], [0.5000, 0.0000, 0.6236], [0.5000, 0.0000, 0.8700], [0.0000, 0.5000, 0.1300], [0.0000, 0.5000, 0.3764], [0.0000, 0.5000, 0.6236], [0.0000, 0.5000, 0.8700], [0.0000, 0.0000, 0.2518], [0.0000, 0.0000, 0.5000], [0.0000, 0.0000, 0.7482]], "volume_a3_per_atom": 35.3, "magnetic_moment_mub_per_cell": 0.000, "rho_g_cm3": 6.57, "delta_e_f_ev_per_atom": 0.0220}


Entry 11:
{"formula": "CaPr6Er12", "functional": "PBE-GGA", "state": "optimized geometry", "lattice_angstrom": [[8.9952, -0.2807, -2.4676], [-3.1645, 8.4248, -2.4676], [-0.2009, -0.2807, 9.3253]], "species": ["Ca", "Pr", "Pr", "Pr", "Pr", "Pr", "Pr", "Er", "Er", "Er", "Er", "Er", "Er", "Er", "Er", "Er", "Er", "Er", "Er"], "frac_coords": [[0.0000, 0.0000, 0.0000], [0.6863, 0.2944, 0.6863], [0.6863, 0.6863, 0.2944], [0.2944, 0.6863, 0.6863], [0.3137, 0.3137, 0.7056], [0.3137, 0.7056, 0.3137], [0.7056, 0.3137, 0.3137], [0.8880, 0.1120, 0.5000], [0.3347, 0.0967, 0.3347], [0.3347, 0.3347, 0.0967], [0.9033, 0.6653, 0.6653], [0.6653, 0.6653, 0.9033], [0.6653, 0.9033, 0.6653], [0.5000, 0.8880, 0.1120], [0.1120, 0.5000, 0.8880], [0.1120, 0.8880, 0.5000], [0.5000, 0.1120, 0.8880], [0.8880, 0.5000, 0.1120], [0.0967, 0.3347, 0.3347]], "volume_a3_per_atom": 36.1, "magnetic_moment_mub_per_cell": 0.009, "rho_g_cm3": 7.01, "delta_e_f_ev_per_atom": 0.4548}


Entry 12:
{"formula": "CaPr8Er4", "functional": "PBE-GGA", "state": "optimized geometry", "lattice_angstrom": [[-4.2152, -3.0271, -0.0504], [-0.4914, -3.6759, -5.1361], [3.6966, -9.8059, 13.0346]], "species": ["Ca", "Pr", "Pr", "Pr", "Pr", "Pr", "Pr", "Pr", "Pr", "Er", "Er", "Er", "Er"], "frac_coords": [[0.0000, 0.0000, 0.0000], [0.4550, 0.7795, 0.3110], [0.5450, 0.2205, 0.6890], [0.6134, 0.6933, 0.0802], [0.3866, 0.3067, 0.9198], [0.9269, 0.5322, 0.6139], [0.0731, 0.4678, 0.3861], [0.8412, 0.0835, 0.2342], [0.1588, 0.9165, 0.7658], [0.3114, 0.8401, 0.5367], [0.6886, 0.1599, 0.4633], [0.7805, 0.5980, 0.8407], [0.2195, 0.4020, 0.1593]], "volume_a3_per_atom": 34.7, "magnetic_moment_mub_per_cell": 0.000, "rho_g_cm3": 6.76, "delta_e_f_ev_per_atom": 0.0391}


Entry 13:
{"formula": "CaPr3Er6", "functional": "PBE-GGA", "state": "optimized geometry", "lattice_angstrom": [[6.3808, 0.0000, -2.5898], [-1.1149, 5.1615, -2.7471], [0.0979, 2.4286, 9.3967]], "species": ["Ca", "Pr", "Pr", "Pr", "Er", "Er", "Er", "Er", "Er", "Er"], "frac_coords": [[0.5000, 0.5000, 0.0000], [0.6476, 0.1001, 0.2953], [0.3524, 0.8999, 0.7047], [0.0000, 0.0000, 0.0000], [0.4085, 0.6008, 0.3404], [0.0681, 0.3992, 0.6596], [0.5915, 0.3992, 0.6596], [0.9319, 0.6008, 0.3404], [0.1868, 0.1038, 0.3737], [0.8132, 0.8962, 0.6263]], "volume_a3_per_atom": 36.0, "magnetic_moment_mub_per_cell": 0.000, "rho_g_cm3": 6.76, "delta_e_f_ev_per_atom": 0.2380}


Entry 14:
{"formula": "CaPr5Er4", "functional": "PBE-GGA", "state": "optimized geometry", "lattice_angstrom": [[-3.4079, 1.2888, -0.2233], [-1.1628, -3.2705, -1.1299], [-4.2186, -6.9276, 24.3932]], "species": ["Ca", "Pr", "Pr", "Pr", "Pr", "Pr", "Er", "Er", "Er", "Er"], "frac_coords": [[0.0000, 0.0000, 0.0000], [0.5000, 0.5000, 0.1100], [0.5000, 0.5000, 0.3049], [0.5000, 0.5000, 0.5000], [0.5000, 0.5000, 0.6951], [0.5000, 0.5000, 0.8900], [0.0000, 0.0000, 0.2057], [0.0000, 0.0000, 0.4022], [0.0000, 0.0000, 0.5978], [0.0000, 0.0000, 0.7943]], "volume_a3_per_atom": 34.3, "magnetic_moment_mub_per_cell": 0.000, "rho_g_cm3": 6.85, "delta_e_f_ev_per_atom": 0.0279}


Entry 15:
{"formula": "Ca2PrEr", "functional": "PBE-GGA", "state": "optimized geometry", "lattice_angstrom": [[3.6005, 0.0000, 0.0000], [1.8003, 3.1181, 0.0000], [1.8003, 1.0394, 13.1867]], "species": ["Pr", "Ca", "Ca", "Er"], "frac_coords": [[0.5000, 0.5000, 0.5000], [0.0863, 0.0863, 0.7412], [0.9137, 0.9137, 0.2588], [0.0000, 0.0000, 0.0000]], "volume_a3_per_atom": 37.0, "magnetic_moment_mub_per_cell": 0.573, "rho_g_cm3": 4.36, "delta_e_f_ev_per_atom": 0.2424}


Entry 16:
{"formula": "CaPr3Er2", "functional": "PBE-GGA", "state": "optimized geometry", "lattice_angstrom": [[-5.6423, -5.2027, -2.2781], [4.6898, -3.7088, -3.1403], [2.2500, -3.1076, 7.0267]], "species": ["Ca", "Ca", "Pr", "Pr", "Pr", "Pr", "Pr", "Pr", "Er", "Er", "Er", "Er"], "frac_coords": [[0.5193, 0.2500, 0.4807], [0.4807, 0.7500, 0.5193], [0.5760, 0.7499, 0.0796], [0.9204, 0.7499, 0.4240], [0.4240, 0.2501, 0.9204], [0.2116, 0.7503, 0.7884], [0.7884, 0.2497, 0.2116], [0.0796, 0.2501, 0.5760], [0.1718, 0.5000, 0.1718], [0.1719, 0.0000, 0.1719], [0.8281, 0.0000, 0.8281], [0.8282, 0.5000, 0.8282]], "volume_a3_per_atom": 35.4, "magnetic_moment_mub_per_cell": 0.000, "rho_g_cm3": 6.24, "delta_e_f_ev_per_atom": 0.1912}


Entry 17:
{"formula": "CaPr8Er5", "functional": "PBE-GGA", "state": "optimized geometry", "lattice_angstrom": [[-2.9923, -2.5426, -7.7380], [0.6041, -6.6961, 5.4856], [-5.6123, 5.9440, 2.9098]], "species": ["Ca", "Pr", "Pr", "Pr", "Pr", "Pr", "Pr", "Pr", "Pr", "Er", "Er", "Er", "Er", "Er"], "frac_coords": [[0.2500, 0.5000, 0.7500], [0.1582, 0.7340, 0.0801], [0.9199, 0.0782, 0.6540], [0.7282, 0.2558, 0.3316], [0.6684, 0.3966, 0.9242], [0.5276, 0.6034, 0.2718], [0.5758, 0.9218, 0.8418], [0.3460, 0.2660, 0.4242], [0.0758, 0.7442, 0.4724], [0.0377, 0.3115, 0.1286], [0.8714, 0.9091, 0.1830], [0.8170, 0.6885, 0.7262], [0.5000, 0.0000, 0.5000], [0.2738, 0.0909, 0.9623]], "volume_a3_per_atom": 35.8, "magnetic_moment_mub_per_cell": 0.000, "rho_g_cm3": 6.63, "delta_e_f_ev_per_atom": 0.2371}


Entry 18:
{"formula": "CaPr3Er3", "functional": "PBE-GGA", "state": "optimized geometry", "lattice_angstrom": [[8.7195, 0.0521, 4.1109], [4.0110, 8.3303, 2.6354], [2.4104, 0.3579, 7.7753]], "species": ["Ca", "Ca", "Pr", "Pr", "Pr", "Pr", "Pr", "Pr", "Er", "Er", "Er", "Er", "Er", "Er"], "frac_coords": [[0.5353, 0.6433, 0.2459], [0.4647, 0.3567, 0.7541], [0.3182, 0.7927, 0.7609], [0.9008, 0.0643, 0.7481], [0.1713, 0.2208, 0.7475], [0.8287, 0.7792, 0.2525], [0.0992, 0.9357, 0.2519], [0.6818, 0.2073, 0.2391], [0.2434, 0.4974, 0.2590], [0.9720, 0.3552, 0.2508], [0.3882, 0.0732, 0.2559], [0.6118, 0.9268, 0.7441], [0.0280, 0.6448, 0.7492], [0.7566, 0.5026, 0.7410]], "volume_a3_per_atom": 34.2, "magnetic_moment_mub_per_cell": 0.000, "rho_g_cm3": 6.69, "delta_e_f_ev_per_atom": 0.0563}


Entry 19:
{"formula": "CaPr4Er4", "functional": "PBE-GGA", "state": "optimized geometry", "lattice_angstrom": [[-3.4172, -3.5788, 1.3740], [3.9976, -6.8901, 1.5928], [-0.9752, 0.3400, 8.0576]], "species": ["Ca", "Pr", "Pr", "Pr", "Pr", "Er", "Er", "Er", "Er"], "frac_coords": [[0.0000, 0.0000, 0.0000], [0.3272, 0.3456, 0.0000], [0.6728, 0.6544, 0.0000], [0.6728, 0.0000, 0.6544], [0.3272, 0.0000, 0.3456], [0.0000, 0.6599, 0.3401], [0.0000, 0.3401, 0.6599], [0.6599, 0.3401, 0.3401], [0.3401, 0.6599, 0.6599]], "volume_a3_per_atom": 33.9, "magnetic_moment_mub_per_cell": 0.000, "rho_g_cm3": 6.93, "delta_e_f_ev_per_atom": 0.0410}


Entry 20:
{"formula": "CaPrEr14", "functional": "PBE-GGA", "state": "optimized geometry", "lattice_angstrom": [[7.0711, -0.0150, 0.0000], [0.0150, 7.0711, 0.0000], [0.0000, 0.0000, 9.9931]], "species": ["Ca", "Pr", "Er", "Er", "Er", "Er", "Er", "Er", "Er", "Er", "Er", "Er", "Er", "Er", "Er", "Er"], "frac_coords": [[0.8750, 0.8750, 0.5000], [0.3750, 0.3750, 0.5000], [0.8750, 0.8750, 0.0000], [0.3750, 0.3750, 0.0000], [0.8750, 0.3750, 0.5000], [0.8750, 0.3750, 0.0000], [0.3750, 0.8750, 0.5000], [0.3750, 0.8750, 0.0000], [0.6223, 0.1277, 0.2441], [0.6223, 0.1277, 0.7559], [0.1277, 0.6223, 0.2441], [0.1277, 0.6223, 0.7559], [0.6223, 0.6223, 0.2441], [0.6223, 0.6223, 0.7559], [0.1277, 0.1277, 0.2441], [0.1277, 0.1277, 0.7559]], "volume_a3_per_atom": 31.2, "magnetic_moment_mub_per_cell": 0.000, "rho_g_cm3": 8.38, "delta_e_f_ev_per_atom": 0.0450}